A plane-wave DFT calculation with GGA-PBEsol was carried out for CdC3S after structural relaxation.

Summary:
total magnetic moment	1.5	μB per cell
V	15.19	Å³/atom
density	3.95	g/cm³
energy relative to the elements, uncorrected	3.626	eV/atom
VASP energy	-3.276	eV/atom

a = 4.235 Å, b = 4.235 Å, c = 4.235 Å
α = 90.00°, β = 90.00°, γ = 90.00°
Space group Pm-3m (No. 221)
Symmetry-distinct sites (fractional):
Cd  0.000  0.000  0.000 [1 per cell]
C  0.000  0.000  0.500 [3 per cell]
S  0.500  0.500  0.500 [1 per cell]



A plane-wave DFT calculation with GGA-PBEsol was carried out for Mg2Fe2Ir after structural relaxation.

Summary:
total magnetic moment	11.0	μB per cell
V	16.26	Å³/atom
energy of formation	0.759	eV/atom
density	7.20	g/cm³
VASP energy	-5.478	eV/atom

a = 4.854 Å, b = 4.854 Å, c = 6.899 Å
α = 90.00°, β = 90.00°, γ = 90.00°
Space group I4/mmm (No. 139)
Symmetry-distinct sites (fractional):
Mg  0.000  0.500  0.250 [4 per cell]
Fe  0.000  0.000  0.150 [4 per cell]
Ir  0.000  0.000  0.500 [2 per cell]



A plane-wave DFT calculation with GGA-PBEsol was carried out for La2CoOs after structural relaxation.

Summary:
total magnetic moment	1.1	μB per cell
V	23.34	Å³/atom
energy of formation	-0.002	eV/atom
density	9.37	g/cm³
VASP energy	-7.664	eV/atom

a = 4.207 Å, b = 4.320 Å, c = 10.272 Å
α = 90.00°, β = 90.00°, γ = 90.00°
Space group Amm2 (No. 38)
Symmetry-distinct sites (fractional):
La  0.000  0.000  0.000 [2 per cell]
La  0.500  0.000  0.294 [2 per cell]
Co  0.500  0.000  0.596 [2 per cell]
Os  0.000  0.000  0.693 [2 per cell]



A plane-wave DFT calculation with GGA-PBEsol was carried out for KCa2Ta after structural relaxation.

Summary:
total magnetic moment	0.0	μB per cell
V	31.36	Å³/atom
energy of formation	0.694	eV/atom
density	3.97	g/cm³
polymorph energy (0 for the lowest one)	0.000	eV/atom
VASP energy	-3.793	eV/atom

a = 3.3909 Å, b = 3.3909 Å, c = 37.7935 Å
α = 90.00°, β = 90.00°, γ = 120.00°
Space group R-3m (No. 166, hexagonal axes)
Symmetry-distinct sites (fractional):
K  0.0000  0.0000  0.0000 [3 per cell]
Ca  0.0000  0.0000  0.2330 [6 per cell]
Ta  0.0000  0.0000  0.5000 [3 per cell]



A plane-wave DFT calculation with GGA-PBEsol was carried out for KMg4Br after structural relaxation.

Summary:
total magnetic moment	0.0	μB per cell
V	30.08	Å³/atom
density	1.99	g/cm³
energy relative to the elements, uncorrected	0.004	eV/atom
VASP energy	-1.641	eV/atom

a = 8.971 Å, b = 8.971 Å, c = 8.971 Å
α = 90.00°, β = 90.00°, γ = 90.00°
Space group F-43m (No. 216)
Symmetry-distinct sites (fractional):
K  0.000  0.000  0.000 [4 per cell]
Mg  0.125  0.125  0.625 [16 per cell]
Br  0.250  0.250  0.250 [4 per cell]



A plane-wave DFT calculation with GGA-PBEsol was carried out for Li3Mo3P4O16 after structural relaxation.

Summary:
total magnetic moment	18.0	μB per cell
V	12.17	Å³/atom
density	3.61	g/cm³
polymorph energy (0 for the lowest one)	0.015	eV/atom
energy relative to the elements, uncorrected	-1.986	eV/atom
VASP energy	-7.692	eV/atom

a = 7.575 Å, b = 8.228 Å, c = 10.159 Å
α = 90.00°, β = 92.11°, γ = 90.00°
Space group P2_1 (No. 4)
Symmetry-distinct sites (fractional):
Li  0.142  0.000  0.079 [2 per cell]
Li  0.144  0.011  0.575 [2 per cell]
Li  0.333  0.742  0.169 [2 per cell]
Mo  0.236  0.373  0.123 [2 per cell]
Mo  0.247  0.362  0.625 [2 per cell]
Mo  0.361  0.738  0.684 [2 per cell]
P  0.049  0.170  0.360 [2 per cell]
P  0.057  0.177  0.858 [2 per cell]
P  0.439  0.576  0.389 [2 per cell]
P  0.458  0.557  0.903 [2 per cell]
O  0.002  0.502  0.101 [2 per cell]
O  0.010  0.497  0.602 [2 per cell]
O  0.093  0.796  0.149 [2 per cell]
O  0.108  0.791  0.626 [2 per cell]
O  0.116  0.177  0.219 [2 per cell]
O  0.145  0.165  0.722 [2 per cell]
O  0.198  0.220  0.460 [2 per cell]
O  0.203  0.226  0.962 [2 per cell]
O  0.298  0.520  0.288 [2 per cell]
O  0.315  0.522  0.787 [2 per cell]
O  0.353  0.576  0.529 [2 per cell]
O  0.363  0.572  0.032 [2 per cell]
O  0.391  0.942  0.096 [2 per cell]
O  0.403  0.957  0.599 [2 per cell]
O  0.482  0.236  0.149 [2 per cell]
O  0.498  0.247  0.645 [2 per cell]



A plane-wave DFT calculation with GGA-PBEsol was carried out for MgCr2O4 after structural relaxation.

Summary:
total magnetic moment	48.0	μB per cell
V	10.34	Å³/atom
density	4.41	g/cm³
polymorph energy (0 for the lowest one)	0.000	eV/atom
energy relative to the elements, uncorrected	-2.179	eV/atom
VASP energy	-8.350	eV/atom

a = 8.334 Å, b = 8.334 Å, c = 8.334 Å
α = 90.00°, β = 90.00°, γ = 90.00°
Space group Fd-3m (No. 227, origin choice 2)
Symmetry-distinct sites (fractional):
Mg  0.125  0.125  0.125 [8 per cell]
Cr  0.000  0.000  0.500 [16 per cell]
O  0.012  0.012  0.738 [32 per cell]



A plane-wave DFT calculation with GGA-PBEsol was carried out for Tl2TeBr after structural relaxation.

Summary:
total magnetic moment	0.0	μB per cell
V	28.92	Å³/atom
density	8.85	g/cm³
polymorph energy (0 for the lowest one)	0.042	eV/atom
energy relative to the elements, uncorrected	-0.369	eV/atom
VASP energy	-3.034	eV/atom

a = 7.734 Å, b = 7.734 Å, c = 7.734 Å
α = 90.00°, β = 90.00°, γ = 90.00°
Space group Fm-3m (No. 225)
Symmetry-distinct sites (fractional):
Tl  0.250  0.250  0.250 [8 per cell]
Te  0.000  0.000  0.000 [4 per cell]
Br  0.000  0.000  0.500 [4 per cell]



A plane-wave DFT calculation with GGA-PBEsol was carried out for P3Cl after structural relaxation.

Summary:
total magnetic moment	0.0	μB per cell
V	15.34	Å³/atom
density	3.47	g/cm³
polymorph energy (0 for the lowest one)	0.720	eV/atom
energy relative to the elements, uncorrected	0.954	eV/atom
VASP energy	-3.892	eV/atom

a = 3.944 Å, b = 3.944 Å, c = 3.944 Å
α = 90.00°, β = 90.00°, γ = 90.00°
Space group Pm-3m (No. 221)
Symmetry-distinct sites (fractional):
P  0.000  0.000  0.500 [3 per cell]
Cl  0.500  0.500  0.500 [1 per cell]



A plane-wave DFT calculation with GGA-PBEsol was carried out for BaGa2HN after structural relaxation.

Summary:
total magnetic moment	0.7	μB per cell
V	18.10	Å³/atom
density	5.35	g/cm³
VASP energy	-3.725	eV/atom

a = 3.892 Å, b = 3.892 Å, c = 5.976 Å
α = 90.00°, β = 90.00°, γ = 90.00°
Space group P4/mmm (No. 123)
Symmetry-distinct sites (fractional):
Ba  0.000  0.000  0.000 [1 per cell]
Ga  0.000  0.500  0.500 [2 per cell]
H  0.500  0.500  0.500 [1 per cell]
N  0.500  0.500  0.000 [1 per cell]



A plane-wave DFT calculation with GGA-PBEsol was carried out for BaNi3 after structural relaxation.

Summary:
total magnetic moment	0.8	μB per cell
V	16.06	Å³/atom
energy of formation	0.690	eV/atom
density	8.10	g/cm³
VASP energy	-4.465	eV/atom

a = 4.005 Å, b = 4.005 Å, c = 4.005 Å
α = 90.00°, β = 90.00°, γ = 90.00°
Space group Pm-3m (No. 221)
Symmetry-distinct sites (fractional):
Ba  0.000  0.000  0.000 [1 per cell]
Ni  0.000  0.500  0.500 [3 per cell]



A plane-wave DFT calculation with GGA-PBEsol was carried out for ZrTcW2 after structural relaxation.

Summary:
total magnetic moment	0.0	μB per cell
V	16.68	Å³/atom
energy of formation	0.231	eV/atom
density	13.86	g/cm³
polymorph energy (0 for the lowest one)	0.228	eV/atom
VASP energy	-11.762	eV/atom

a = 3.761 Å, b = 3.761 Å, c = 4.719 Å
α = 90.00°, β = 90.00°, γ = 90.00°
Space group P4/mmm (No. 123)
Symmetry-distinct sites (fractional):
Zr  0.000  0.000  0.000 [1 per cell]
Tc  0.500  0.500  0.000 [1 per cell]
W  0.000  0.500  0.500 [2 per cell]